{"formula": "CoAsN2", "functional": "PBE", "state": "relaxed", "dft_energy_ev_per_atom": -6.546, "formation_energy_uncorrected_mev_per_atom": 556, "n_ef_per_ev_cell": 1.2, "spacegroup": "I-42d, No. 122", "lattice_angstrom": [[4.565, 0.000, 0.000], [0.000, 4.565, 0.000], [2.283, 2.283, 4.419]], "species": ["N", "N", "N", "As", "Co", "Co", "N", "As"], "fractional_positions": [[0.875, 0.890, 0.750], [0.640, 0.125, 0.250], [0.110, 0.625, 0.250], [0.750, 0.250, 0.500], [0.250, 0.750, 0.500], [0.500, 0.500, 0.000], [0.375, 0.360, 0.750], [0.000, 0.000, 0.000]]}